Entry from the Alexandria database: a PBEsol-optimized structure of BaCo2Ru (SCAN).

Unit cell a=2.9830 b=5.0720 c=5.4697 alpha=117.62 beta=105.82 gamma=90.00
Site moments in Bohr magnetons follow the coordinates.
Positions (direct):
Ru 0.5455 0.5455 0.0910  1.28
Ba 0.7462 0.2462 0.4923  -0.08
Co 0.9508 0.9508 0.9016  1.91
Co 0.2575 0.7575 0.5151  1.72

Summary:
SG: No. 44
N(E_F), states/eV/f.u.: 3.76
DFT formation energy, eV/f.u.: 3.7
Energy, eV per atom: -26.33